A plane-wave DFT calculation with PBE was carried out for a relaxed La2Nd3Sm crystal.

Calculated values
Symmetry ... Pnnm
Relative energy among the computed polymorphs ... 0.000 eV/atom
Spin magnetization ... 0.00 μB per formula unit
Theoretical density ... 6.732 g/cm3
DFT formation energy ... 0.05 eV per atom

```
La2Nd3Sm
1.0
7.153 0.000 0.000
0.000 10.117 0.000
0.000 0.000 5.869
La Nd Sm
4 6 2
direct
0.250 0.167 0.000
0.250 0.667 0.500
0.750 0.333 0.500
0.750 0.833 0.000
0.000 0.000 0.500
0.250 0.332 0.500
0.250 0.832 0.000
0.500 0.500 0.000
0.750 0.168 0.000
0.750 0.668 0.500
0.000 0.500 0.000
0.500 0.000 0.500
```